Record 1
An optimized crystal structure of Cu2Ag4Au3. Source: the Alexandria database, functional PBE.

Total moment, μB/atom: 0.0000
E, eV for the cell shown: -29.4
E_form, meV per atom: 6

Cell lengths 6.407, 7.650, 4.011 Å; angles 105.19, 89.84, 54.39 degrees
Positions (direct):
Ag 0.782 0.886 0.443
Cu 0.663 0.338 0.669
Au 0.867 0.445 0.223
Ag 0.550 0.770 0.886
Ag 0.450 0.230 0.114
Au 0.133 0.555 0.777
Au 0.000 0.000 0.000
Ag 0.218 0.114 0.557
Cu 0.337 0.662 0.331

Record 2
An optimized crystal structure of TcNiP2Se. Source: the Alexandria database, functional PBE.

Total moment, μB/atom: 0.0000
E, eV for the cell shown: -31.7
ΔE_f (raw), eV/atom: -0.241
Energy above the most stable polymorph in this dataset, eV per atom: 0.049

Cell lengths 3.012, 4.200, 7.533 Å; angles 82.69, 78.43, 68.98 degrees
Positions (direct):
Ni 0.549 0.637 0.972
P 0.817 0.067 0.006
Tc 0.380 0.200 0.747
Se 0.407 0.483 0.410
P 0.127 0.787 0.665

Record 3
An optimized crystal structure of NbNi12B5. Source: the Alexandria database, functional PBE.

Total moment, μB/atom: 0.0000
E, eV for the cell shown: -116.0
E_form, meV per atom: -178

Cell lengths 6.141, 6.141, 6.141 Å; angles 103.10, 112.44, 113.05 degrees
Positions (direct):
Ni 0.816 0.037 0.220
Nb 0.000 0.500 0.500
Ni 0.467 0.184 0.283
Ni 0.684 0.677 0.361
B 0.357 0.357 0.000
B 0.500 0.886 0.386
Ni 0.816 0.596 0.780
B 0.643 0.643 0.000
Ni 0.316 0.677 0.993
Ni 0.684 0.323 0.007
B 0.000 0.000 0.000
Ni 0.184 0.404 0.220
Ni 0.316 0.323 0.639
Ni 0.100 0.816 0.283
B 0.500 0.114 0.614
Ni 0.900 0.184 0.717
Ni 0.533 0.816 0.717
Ni 0.184 0.963 0.780

Record 4
An optimized crystal structure of LiGa2Se2. Source: the Alexandria database, functional PBE.

Total moment, μB/atom: 0.0000
E, eV for the cell shown: -16.5
ΔE_f (raw), eV/atom: -0.310
Energy above the most stable polymorph in this dataset, eV per atom: 0.153

Cell lengths 3.851, 3.851, 7.680 Å; angles 75.48, 75.48, 90.00 degrees
Positions (direct):
Se 0.411 0.411 0.177
Se 0.589 0.589 0.823
Ga 0.250 0.750 0.500
Li 0.000 0.000 0.000
Ga 0.750 0.250 0.500

Record 5
An optimized crystal structure of NdIn6Ir. Source: the Alexandria database, functional PBE.

Total moment, μB/atom: 0.0000
E, eV for the cell shown: -27.5
E_form, meV per atom: 320

Cell lengths 8.190, 8.190, 8.190 Å; angles 60.00, 60.00, 60.00 degrees
Positions (direct):
In 0.226 0.226 0.774
In 0.226 0.774 0.226
In 0.774 0.226 0.226
In 0.774 0.226 0.774
Ir 0.000 0.000 0.000
In 0.774 0.774 0.226
Nd 0.500 0.500 0.500
In 0.226 0.774 0.774

Record 6
An optimized crystal structure of NdCoGe2Os. Source: the Alexandria database, functional PBE.

Total moment, μB/atom: 0.0000
E, eV for the cell shown: -34.8
E_form, meV per atom: -487

Cell lengths 4.150, 4.150, 5.936 Å; angles 110.46, 110.46, 90.00 degrees
Positions (direct):
Co 0.750 0.250 0.500
Ge 0.629 0.629 0.259
Ge 0.371 0.371 0.741
Nd 0.000 0.000 0.000
Os 0.250 0.750 0.500

Record 7
An optimized crystal structure of Na4Zr3Te8Pd. Source: the Alexandria database, functional PBE.

Total moment, μB/atom: 0.0000
E, eV for the cell shown: -74.1
ΔE_f (raw), eV/atom: -0.802

Cell lengths 8.329, 9.004, 8.333 Å; angles 117.59, 119.98, 90.00 degrees
Positions (direct):
Na 0.000 0.000 0.500
Na 0.000 0.000 0.000
Te 0.746 0.715 0.981
Te 0.765 0.284 0.530
Te 0.742 0.726 0.484
Na 0.500 0.000 0.500
Te 0.765 0.285 0.019
Te 0.254 0.285 0.019
Zr 0.500 0.500 0.500
Te 0.235 0.716 0.470
Na 0.500 0.000 0.000
Zr 0.500 0.500 0.000
Te 0.258 0.274 0.516
Zr 0.000 0.500 0.500
Pd 0.000 0.500 0.000
Te 0.235 0.715 0.981

Record 8
An optimized crystal structure of TmThNi. Source: the Alexandria database, functional PBE.

Total moment, μB/atom: 0.0000
E, eV for the cell shown: -17.9
E_form, meV per atom: -83
Energy above the most stable polymorph in this dataset, eV per atom: 0.222

Cell lengths 4.778, 4.778, 4.778 Å; angles 60.00, 60.00, 60.00 degrees
Positions (direct):
Tm 0.000 0.000 0.000
Ni 0.250 0.250 0.250
Th 0.500 0.500 0.500

Record 9
An optimized crystal structure of NdBeSi2Rh. Source: the Alexandria database, functional PBE.

Total moment, μB/atom: 0.0000
E, eV for the cell shown: -30.4
ΔE_f (raw), eV/atom: -0.746

Cell lengths 3.995, 3.995, 5.864 Å; angles 109.92, 109.92, 90.00 degrees
Positions (direct):
Si 0.621 0.621 0.241
Rh 0.750 0.250 0.500
Be 0.250 0.750 0.500
Si 0.379 0.379 0.759
Nd 0.000 0.000 0.000

Record 10
An optimized crystal structure of ThCo4As2. Source: the Alexandria database, functional PBE.

Total moment, μB/atom: 0.0000
E, eV for the cell shown: -194.2
E_form, meV per atom: -486

Cell lengths 3.811, 6.612, 16.371 Å; angles 90.00, 90.00, 90.00 degrees
Positions (direct):
As 0.750 0.198 0.949
Co 0.750 0.832 0.964
Co 0.750 0.990 0.107
Co 0.250 0.789 0.195
Th 0.250 0.952 0.392
Co 0.750 0.831 0.810
Co 0.250 0.331 0.690
Co 0.250 0.332 0.536
As 0.750 0.976 0.244
Th 0.750 0.048 0.608
Co 0.750 0.289 0.305
Co 0.750 0.510 0.607
Co 0.750 0.668 0.464
As 0.250 0.024 0.756
Co 0.250 0.169 0.190
Co 0.750 0.669 0.310
Co 0.250 0.711 0.695
As 0.250 0.802 0.051
Co 0.750 0.211 0.805
Co 0.250 0.168 0.036
As 0.750 0.524 0.744
As 0.250 0.476 0.256
As 0.250 0.698 0.551
Th 0.750 0.452 0.108
Th 0.250 0.548 0.892
Co 0.250 0.010 0.893
As 0.750 0.302 0.449
Co 0.250 0.490 0.393

Record 11
An optimized crystal structure of ScRe2. Source: the Alexandria database, functional PBE.

Total moment, μB/atom: 0.0000
E, eV for the cell shown: -61.7
E_form, meV per atom: 118

Cell lengths 5.427, 5.427, 7.223 Å; angles 71.82, 71.82, 30.74 degrees
Positions (direct):
Sc 0.657 0.657 0.386
Sc 0.343 0.343 0.614
Re 0.357 0.357 0.007
Re 0.643 0.643 0.993
Re 0.054 0.054 0.749
Re 0.946 0.946 0.251

Record 12
An optimized crystal structure of HfNb2H8. Source: the Alexandria database, functional PBE.

Total moment, μB/atom: 0.0000
E, eV for the cell shown: -58.3

Cell lengths 3.323, 4.505, 5.802 Å; angles 112.84, 106.64, 90.00 degrees
Positions (direct):
Nb 0.165 0.665 0.329
Hf 0.500 0.000 0.000
H 0.864 0.864 0.729
H 0.335 0.096 0.669
H 0.136 0.136 0.271
H 0.665 0.904 0.331
H 0.335 0.573 0.669
Nb 0.835 0.335 0.671
H 0.665 0.427 0.331
H 0.000 0.713 0.000
H 0.000 0.287 0.000